The following is a PBE calculation of a relaxed structure of PmTh2Zn, from Alexandria.

Unit cell a=5.435 b=5.435 c=5.435 alpha=60.00 beta=60.00 gamma=60.00
Fractional coordinates of all 4 atoms:
Pm1 0.000 0.000 0.000
Th1 0.250 0.250 0.250
Th2 0.750 0.750 0.750
Zn1 0.500 0.500 0.500

Output
* mass density: 9.9 g/cm³
* VASP energy: -5.0711 eV per atom
* V: 28.4 Å³/atom
* excess energy over the best structure of this formula in the dataset: 0.161 eV per atom

---

The following is a PBE calculation of a relaxed structure of Pm4ThZn, from Alexandria.

Unit cell a=3.654 b=3.654 c=13.893 alpha=90.00 beta=90.00 gamma=90.00
Fractional coordinates of all 6 atoms:
Pm1 0.000 0.000 0.129
Pm2 0.000 0.000 0.871
Pm3 0.500 0.500 0.325
Pm4 0.500 0.500 0.675
Th1 0.000 0.000 0.500
Zn1 0.500 0.500 0.000

Output
* mass density: 7.9 g/cm³
* VASP energy: -4.7009 eV per atom
* V: 30.9 Å³/atom

---

The following is a PBE calculation of a relaxed structure of PmThZn, from Alexandria.

Unit cell a=6.764 b=6.764 c=6.764 alpha=148.66 beta=148.66 gamma=44.92
Fractional coordinates of all 3 atoms:
Pm1 0.000 0.000 0.000
Th1 0.298 0.298 0.000
Zn1 0.647 0.647 0.000

Output
* mass density: 8.8 g/cm³
* VASP energy: -4.6002 eV per atom
* V: 27.8 Å³/atom
* excess energy over the best structure of this formula in the dataset: 0.000 eV per atom

---

The following is a PBE calculation of a relaxed structure of Pm3ThZn2, from Alexandria.

Unit cell a=3.626 b=3.626 c=12.418 alpha=90.00 beta=90.00 gamma=90.00
Fractional coordinates of all 6 atoms:
Pm1 0.000 0.000 0.000
Pm2 0.000 0.000 0.298
Pm3 0.000 0.000 0.702
Th1 0.500 0.500 0.500
Zn1 0.500 0.500 0.149
Zn2 0.500 0.500 0.851

Output
* mass density: 8.1 g/cm³
* VASP energy: -4.2402 eV per atom
* V: 27.2 Å³/atom

---

The following is a PBE calculation of a relaxed structure of PmTh2Zn4, from Alexandria.

Unit cell a=7.817 b=7.817 c=7.817 alpha=142.01 beta=142.01 gamma=54.82
Fractional coordinates of all 7 atoms:
Pm1 0.000 0.000 0.000
Th1 0.263 0.263 0.000
Th2 0.737 0.737 0.000
Zn1 0.111 0.611 0.500
Zn2 0.389 0.889 0.500
Zn3 0.611 0.111 0.500
Zn4 0.889 0.389 0.500

Output
* mass density: 8.0 g/cm³
* VASP energy: -3.5594 eV per atom
* V: 25.7 Å³/atom

---

The following is a PBE calculation of a relaxed structure of PmTh2Zn, from Alexandria.

Unit cell a=4.819 b=4.819 c=4.901 alpha=90.00 beta=90.00 gamma=90.00
Fractional coordinates of all 4 atoms:
Pm1 0.000 0.000 0.000
Th1 0.000 0.500 0.500
Th2 0.500 0.000 0.500
Zn1 0.500 0.500 0.000

Output
* mass density: 9.8 g/cm³
* VASP energy: -5.1987 eV per atom
* V: 28.5 Å³/atom
* excess energy over the best structure of this formula in the dataset: 0.034 eV per atom

---

no.,formation energy from the elements (eV/f.u.),DOS(E_F) (states/eV per atom)
1,0.58,1.5131
2,-0.51,1.0823
3,-0.36,1.0333
4,-1.22,0.8193
5,-0.23,0.7270
6,0.07,1.2229